{
  "formula": "CaPbI2O",
  "functional": "GGA-PBE",
  "state": "optimized geometry",
  "e_above_lowest_polymorph_ev_per_atom": 0.2170,
  "e_form_raw_ev_per_atom": -0.664,
  "total_magnetization_mub_per_atom": 0.028,
  "lattice": [[6.4172, 0.0000, 0.0000], [0.0000, 6.4172, 0.0000], [0.0000, 0.0000, 4.3267]],
  "species": ["Ca", "Pb", "I", "I", "O"],
  "fractional_positions": [[0.0000, 0.0000, 0.0000], [0.5000, 0.5000, 0.5000], [0.0000, 0.5000, 0.5000], [0.5000, 0.0000, 0.5000], [0.5000, 0.5000, 0.0000]]
}

{
  "formula": "Tb12HoNi6",
  "functional": "GGA-PBE",
  "state": "optimized geometry",
  "total_magnetization_mub_per_atom": 0.000,
  "delta_e_f_ev_per_atom": -0.2319,
  "lattice": [[-4.9369, 4.9369, 4.9369], [4.9369, -4.9369, 4.9369], [4.9369, 4.9369, -4.9369]],
  "species": ["Tb", "Tb", "Tb", "Tb", "Tb", "Tb", "Tb", "Tb", "Tb", "Tb", "Tb", "Tb", "Ho", "Ni", "Ni", "Ni", "Ni", "Ni", "Ni"],
  "fractional_positions": [[0.1269, 0.3112, 0.8158], [0.1842, 0.4954, 0.3112], [0.1842, 0.8731, 0.6888], [0.3112, 0.1842, 0.4954], [0.3112, 0.8158, 0.1269], [0.4954, 0.3112, 0.1842], [0.5046, 0.6888, 0.8158], [0.6888, 0.1842, 0.8731], [0.6888, 0.8158, 0.5046], [0.8158, 0.1269, 0.3112], [0.8158, 0.5046, 0.6888], [0.8731, 0.6888, 0.1842], [0.0000, 0.0000, 0.0000], [0.1234, 0.5000, 0.6234], [0.3766, 0.8766, 0.5000], [0.5000, 0.3766, 0.8766], [0.5000, 0.6234, 0.1234], [0.6234, 0.1234, 0.5000], [0.8766, 0.5000, 0.3766]]
}

Record-wise calculated total energy values, in hartree per atom: -0.1256; -0.1919